# 1
Below is a PBEsol-optimized structure of Li2Tl2In, with properties calculated at the SCAN level.

Summary:
energy relative to the elements	-1.09	eV/f.u.
SG	No. 127
V	21.854	Å³ per atom

Lattice parameters (Å, degrees): 8.1026 8.1026 3.3288 90.00 90.00 90.00
Last column: nearest neighbours and their distance in Å.
Element x y z (fractional)
Li 0.1609 0.3391 0.0000  6 Tl 2.83-2.95
Li 0.3391 0.8391 0.0000  6 Tl 2.83-2.95
Li 0.6609 0.1609 0.0000  6 Tl 2.83-2.95
Li 0.8391 0.6609 0.0000  6 Tl 2.83-2.95
Tl 0.1394 0.6394 0.5000  6 Li 2.83-2.95, 2 In 3.13
Tl 0.3606 0.1394 0.5000  6 Li 2.83-2.95, 2 In 3.13
Tl 0.6394 0.8606 0.5000  6 Li 2.83-2.95, 2 In 3.13
Tl 0.8606 0.3606 0.5000  6 Li 2.83-2.95, 2 In 3.13
In 0.0000 0.0000 0.5000  4 Tl 3.13, 2 In 3.33, 8 Li 3.47
In 0.5000 0.5000 0.5000  4 Tl 3.13, 2 In 3.33, 8 Li 3.47

---

# 2
Below is a PBEsol-optimized structure of HgRuPb2, with properties calculated at the SCAN level.

Summary:
energy relative to the elements	2.77	eV/f.u.
SG	No. 47
V	21.841	Å³ per atom

Lattice parameters (Å, degrees): 3.5666 4.6825 5.2312 90.00 90.00 90.00
Last column: nearest neighbours and their distance in Å.
Element x y z (fractional)
Hg 0.0000 0.0000 0.0000  4 Pb 2.94, 4 Ru 3.17
Ru 0.5000 0.0000 0.5000  4 Pb 2.94, 4 Hg 3.17
Pb 0.0000 0.5000 0.5000  4 Ru 2.94, 4 Pb 3.17
Pb 0.5000 0.5000 0.0000  4 Hg 2.94, 4 Pb 3.17

---

# 3
Below is a PBEsol-optimized structure of KLa2Fe, with properties calculated at the SCAN level.

Summary:
energy relative to the elements	1.25	eV/f.u.
SG	No. 166
energy above the lowest structure with this stoichiometry	67.6	meV/atom
V	35.489	Å³ per atom

Lattice parameters (Å, degrees): 10.5416 10.5416 10.5416 21.83 21.83 21.83
Last column: nearest neighbours and their distance in Å.
Element x y z (fractional)
K 0.0000 0.0000 0.0000  6 K 3.99, 6 La 4.37
La 0.2129 0.2129 0.2129  3 Fe 2.71
La 0.7871 0.7871 0.7871  3 Fe 2.71
Fe 0.5000 0.5000 0.5000  6 La 2.71

---

# 4
Below is a PBEsol-optimized structure of ZrAlRe2, with properties calculated at the SCAN level.

Summary:
energy relative to the elements	-0.86	eV/f.u.
SG	No. 123
V	16.006	Å³ per atom

Lattice parameters (Å, degrees): 3.3089 3.3089 5.8478 90.00 90.00 90.00
Last column: nearest neighbours and their distance in Å.
Element x y z (fractional)
Zr 0.0000 0.0000 0.0000  8 Re 2.85, 2 Al 2.92
Al 0.0000 0.0000 0.5000  8 Re 2.68, 2 Zr 2.92
Re 0.5000 0.5000 0.2774  1 Re 2.60, 4 Al 2.68, 4 Zr 2.85
Re 0.5000 0.5000 0.7226  1 Re 2.60, 4 Al 2.68, 4 Zr 2.85

---

# 5
Below is a PBEsol-optimized structure of SrPt4Br, with properties calculated at the SCAN level.

Summary:
formation energy (no corrections)	-338	meV/atom
SG	No. 216
V	18.719	Å³ per atom

Lattice parameters (Å, degrees): 5.4157 5.4157 5.4157 60.00 60.00 60.00
Last column: nearest neighbours and their distance in Å.
Element x y z (fractional)
Sr 0.0000 0.0000 0.0000  12 Pt 3.18, 4 Br 3.32
Pt 0.1250 0.6250 0.6250  6 Pt 2.71
Pt 0.6250 0.1250 0.6250  6 Pt 2.71
Pt 0.6250 0.6250 0.1250  6 Pt 2.71
Pt 0.6250 0.6250 0.6250  6 Pt 2.71
Br 0.2500 0.2500 0.2500  12 Pt 3.18, 4 Sr 3.32

---

# 6
Below is a PBEsol-optimized structure of Gd2MgGe2, with properties calculated at the SCAN level.

Summary:
energy relative to the elements	-3.99	eV/f.u.
SG	No. 127
V	22.225	Å³ per atom

Lattice parameters (Å, degrees): 7.2556 7.2556 4.2217 90.00 90.00 90.00
Last column: nearest neighbours and their distance in Å.
Element x y z (fractional)
Gd 0.1771 0.3229 0.0000  6 Ge 2.95-3.06
Gd 0.3229 0.8229 0.0000  6 Ge 2.95-3.06
Gd 0.6771 0.1771 0.0000  6 Ge 2.95-3.06
Gd 0.8229 0.6771 0.0000  6 Ge 2.95-3.06
Mg 0.0000 0.0000 0.5000  4 Ge 2.88
Mg 0.5000 0.5000 0.5000  4 Ge 2.88
Ge 0.1226 0.6226 0.5000  1 Ge 2.52
Ge 0.3774 0.1226 0.5000  1 Ge 2.52
Ge 0.6226 0.8774 0.5000  1 Ge 2.52
Ge 0.8774 0.3774 0.5000  1 Ge 2.52

---

# 7
Below is a PBEsol-optimized structure of TlInS3, with properties calculated at the SCAN level.

Summary:
formation energy (no corrections)	72	meV/atom
SG	No. 221
V	25.203	Å³ per atom

Lattice parameters (Å, degrees): 5.0135 5.0135 5.0135 90.00 90.00 90.00
Last column: nearest neighbours and their distance in Å.
Element x y z (fractional)
Tl 0.0000 0.0000 0.0000  12 S 3.55
In 0.5000 0.5000 0.5000  6 S 2.51
S 0.0000 0.5000 0.5000  2 In 2.51
S 0.5000 0.0000 0.5000  2 In 2.51
S 0.5000 0.5000 0.0000  2 In 2.51

---

# 8
Below is a PBEsol-optimized structure of HgPtF3, with properties calculated at the SCAN level.

Summary:
formation energy (no corrections)	-828	meV/atom
SG	No. 221
V	15.082	Å³ per atom

Lattice parameters (Å, degrees): 4.2248 4.2248 4.2248 90.00 90.00 90.00
Last column: nearest neighbours and their distance in Å.
Element x y z (fractional)
Hg 0.0000 0.0000 0.0000  12 F 2.99
Pt 0.5000 0.5000 0.5000  6 F 2.11
F 0.0000 0.5000 0.5000  2 Pt 2.11
F 0.5000 0.0000 0.5000  2 Pt 2.11
F 0.5000 0.5000 0.0000  2 Pt 2.11